Compound: GeWF2
Source: Alexandria via LeMat-Bulk
Functional: PBE with a Hubbard U
Structure: optimized geometry

Cell lengths 3.763, 3.763, 16.326 Å; angles 90.00, 90.00, 90.00 degrees
Space group I-42d (No. 122)
Symmetry-distinct sites (fractional):
Ge1 0.000 0.000 0.000 [4 per cell]
W1 0.000 0.000 0.500 [4 per cell]
F1 0.225 0.250 0.625 [8 per cell]

Calculated values
* DOS at the Fermi energy: 0.01 states/eV/f.u.
* E above lowest polymorph: 70 meV per atom
* E_tot: -4.708 eV per atom
* mass density: 8.5 g cm⁻³